Entry from OQMD via LeMat-Bulk: an optimized crystal structure of AcZnIn (PBE-GGA).

The structure in POSCAR format:
```
AcZnIn
1.0
0.000 3.548 3.548
3.548 0.000 3.548
3.548 3.548 0.000
Ac Zn In
1 1 1
Direct
0.000 0.000 0.000
0.250 0.250 0.250
0.500 0.500 0.500
```

Summary:
Energy above the lowest structure with this stoichiometry = 0 meV/atom
Total magnetization = 0.00 μB/f.u.